1.
Below is crystalline ScInReF2 at its relaxed geometry, with properties calculated at the GGA-PBE level.

Cell: 4.0946 4.0946 7.0571 Å, 90.00 90.00 90.00°
Closest atoms and distances in Å follow each position.
Element x y z (fractional)
1 Sc 0.0000 0.0000 0.0000  4 Re 2.90
2 In 0.0000 0.0000 0.5000  4 F 2.05
3 Re 0.5000 0.5000 0.0000  4 Sc 2.90
4 F 0.0000 0.5000 0.5000  2 In 2.05
5 F 0.5000 0.0000 0.5000  2 In 2.05

Calculated values
The calculation puts the uncorrected energy at -25.739 eV per cell. The space group is No. 123. The value obtained for the calculated volume is 118.3 Å³/cell.



2.
Below is crystalline La3SbS at its relaxed geometry, with properties calculated at the GGA-PBE level.

Cell: 5.4415 5.4415 5.4415 Å, 90.00 90.00 90.00°
Closest atoms and distances in Å follow each position.
Element x y z (fractional)
1 La 0.0000 0.0000 0.5000  2 S 2.72
2 La 0.0000 0.5000 0.0000  2 S 2.72
3 La 0.5000 0.0000 0.0000  2 S 2.72
4 Sb 0.5000 0.5000 0.5000  12 La 3.85
5 S 0.0000 0.0000 0.0000  6 La 2.72

Calculated values
The calculation puts the uncorrected energy at -28.425 eV per cell. For the distance to the lowest polymorph of the same formula, the calculation gives 0.0000 eV/atom. The space group is No. 221. The value obtained for the calculated volume is 161.1 Å³/cell.



3.
Below is crystalline SnTe2MoC at its relaxed geometry, with properties calculated at the GGA-PBE level.

Cell: 5.2031 5.2031 4.0745 Å, 90.00 90.00 90.00°
Closest atoms and distances in Å follow each position.
Element x y z (fractional)
1 Sn 0.0000 0.0000 0.0000  8 Te 3.30, 4 Mo 3.68
2 Te 0.0000 0.5000 0.5000  2 C 2.60
3 Te 0.5000 0.0000 0.5000  2 C 2.60
4 Mo 0.5000 0.5000 0.0000  2 C 2.04
5 C 0.5000 0.5000 0.5000  2 Mo 2.04

Calculated values
The calculation puts the uncorrected energy at -25.924 eV per cell. The space group is No. 123. The value obtained for the calculated volume is 110.3 Å³/cell.



4.
Below is crystalline VFeAs2Pb at its relaxed geometry, with properties calculated at the GGA-PBE level.

Cell: 4.8000 4.8000 5.2162 Å, 90.00 90.00 90.00°
Closest atoms and distances in Å follow each position.
Element x y z (fractional)
1 V 0.0000 0.0000 0.0000  4 As 2.40, 2 Pb 2.61
2 Fe 0.5000 0.5000 0.5000  4 Pb 3.39, 8 As 3.54
3 As 0.0000 0.5000 0.0000  2 V 2.40
4 As 0.5000 0.0000 0.0000  2 V 2.40
5 Pb 0.0000 0.0000 0.5000  2 V 2.61

Calculated values
The calculation puts the uncorrected energy at -26.957 eV per cell. The space group is No. 123. For the formation energy, the calculation gives 70 kJ per mole of atoms. The value obtained for the calculated volume is 120.2 Å³/cell.



5.
Below is crystalline Sb2Te at its relaxed geometry, with properties calculated at the GGA-PBE level.

Cell: 5.2072 5.2072 5.2072 Å, 60.00 60.00 60.00°
Closest atoms and distances in Å follow each position.
Element x y z (fractional)
1 Sb 0.2500 0.2500 0.2500  4 Te 3.19
2 Sb 0.7500 0.7500 0.7500  4 Te 3.19
3 Te 0.0000 0.0000 0.0000  8 Sb 3.19

Calculated values
The calculation puts the uncorrected energy at -10.047 eV per cell. For the distance to the lowest polymorph of the same formula, the calculation gives 0.5123 eV/atom. The space group is No. 225. The value obtained for the calculated volume is 99.8 Å³/cell.



6.
Below is crystalline KAgRuC2 at its relaxed geometry, with properties calculated at the GGA-PBE level.

Cell: 4.4498 4.4498 5.0257 Å, 90.00 90.00 90.00°
Closest atoms and distances in Å follow each position.
Element x y z (fractional)
1 K 0.0000 0.0000 0.0000  4 C 2.22
2 Ag 0.0000 0.0000 0.5000  2 K 2.51
3 Ru 0.5000 0.5000 0.5000  4 Ag 3.15, 8 C 3.36
4 C 0.0000 0.5000 0.0000  2 K 2.22
5 C 0.5000 0.0000 0.0000  2 K 2.22

Calculated values
The calculation puts the uncorrected energy at -12.339 eV per cell. For the distance to the lowest polymorph of the same formula, the calculation gives 2.2187 eV/atom. The space group is No. 123. For the formation energy, the calculation gives 373 kJ per mole of atoms. The value obtained for the calculated volume is 99.5 Å³/cell.